1.
Material: Ga3ReBi
Method: DFT, PBE-GGA
State: relaxed

For the formation energy, the calculation gives 0.45 eV per atom. The density of states at the Fermi level comes out at 5.6 states/eV per cell. The value obtained for the relative energy among the computed polymorphs is 0.00 kcal/mol of atoms.

It has space group Pm-3m (No. 221), with a = 4.920 Å, b = 4.920 Å, c = 4.920 Å, α = 90.00°, β = 90.00° and γ = 90.00°. The asymmetric unit holds Ga at (0.000, 0.000, 0.500), Re at (0.000, 0.000, 0.000) and Bi at (0.500, 0.500, 0.500).

---

2.
Material: GaReBi2
Method: DFT, PBE-GGA
State: relaxed

For the formation energy, the calculation gives 0.95 eV per atom. The density of states at the Fermi level comes out at 7.3 states/eV per cell.

It has space group I-42d (No. 122), with a = 6.388 Å, b = 6.388 Å, c = 12.990 Å, α = 90.00°, β = 90.00° and γ = 90.00°. The asymmetric unit holds Ga at (0.000, 0.000, 0.000), Re at (0.000, 0.000, 0.500) and Bi at (0.216, 0.250, 0.625).

---

Q: The highest density of states at the Fermi level belongs to which entry?
A: GaReBi2